# ReSI2O

A geometry-optimized ReSI2O structure (PBE, the Alexandria database).

Lattice parameters (Å, degrees): 5.510 5.510 3.757 90.00 90.00 90.00
Space group P4/mmm (No. 123)
Unique sites:
Re  0.000  0.000  0.000 [1 per cell]
S  0.500  0.500  0.500 [1 per cell]
I  0.000  0.500  0.000 [2 per cell]
O  0.000  0.000  0.500 [1 per cell]

Properties
As for the uncorrected formation energy: 225 meV/atom. As for the total magnetic moment: 0.685 Bohr magnetons per cell. For the energy, the calculation gives -4.702 eV per atom. As for the energy above the most stable polymorph in this dataset: 0.0 meV per atom. The value obtained for the calculated density is 7.10 g cm⁻³. The value obtained for the volume is 22.815 Å³/atom.